Entry 1:
DFT (PBE-GGA) results for Hf4Fe after structural relaxation.

a b c (Å): 4.784 4.784 4.784
angles (deg): 90.00 90.00 90.00
Element x y z (fractional)
Hf: 0.000 0.000 0.000
Hf: 0.000 0.500 0.500
Hf: 0.500 0.000 0.500
Hf: 0.500 0.500 0.000
Fe: 0.500 0.500 0.500

- energy above the most stable polymorph in this dataset (meV/atom) = 375


Entry 2:
DFT (PBE-GGA) results for Hf3Fe2 after structural relaxation.

a b c (Å): 3.149 3.149 16.879
angles (deg): 90.00 90.00 90.00
Element x y z (fractional)
Hf: 0.000 0.000 0.000
Hf: 0.000 0.000 0.186
Hf: 0.000 0.000 0.371
Hf: 0.000 0.000 0.629
Hf: 0.000 0.000 0.814
Hf: 0.500 0.500 0.500
Fe: 0.500 0.500 0.093
Fe: 0.500 0.500 0.278
Fe: 0.500 0.500 0.722
Fe: 0.500 0.500 0.907


Entry 3:
DFT (PBE-GGA) results for HfFe after structural relaxation.

a b c (Å): 7.700 7.700 4.124
angles (deg): 90.00 90.00 120.00
Element x y z (fractional)
Hf: 0.190 0.380 0.250
Hf: 0.190 0.810 0.250
Hf: 0.380 0.190 0.750
Hf: 0.620 0.810 0.250
Hf: 0.810 0.190 0.750
Hf: 0.810 0.620 0.750
Fe: 0.128 0.564 0.750
Fe: 0.436 0.564 0.750
Fe: 0.436 0.872 0.750
Fe: 0.564 0.128 0.250
Fe: 0.564 0.436 0.250
Fe: 0.872 0.436 0.250


Entry 4:
DFT (PBE-GGA) results for Hf5Fe after structural relaxation.

a b c (Å): 4.820 10.128 4.882
angles (deg): 90.00 90.00 90.00
Element x y z (fractional)
Hf: 0.000 0.000 0.000
Hf: 0.000 0.152 0.500
Hf: 0.000 0.342 0.000
Hf: 0.000 0.658 0.000
Hf: 0.000 0.848 0.500
Hf: 0.500 0.158 0.000
Hf: 0.500 0.348 0.500
Hf: 0.500 0.500 0.000
Hf: 0.500 0.652 0.500
Hf: 0.500 0.842 0.000
Fe: 0.000 0.500 0.500
Fe: 0.500 0.000 0.500


Entry 5:
DFT (PBE-GGA) results for Hf3Fe after structural relaxation.

a b c (Å): 3.264 4.810 9.668
angles (deg): 90.00 90.00 90.00
Element x y z (fractional)
Hf: 0.000 0.000 0.000
Hf: 0.000 0.500 0.211
Hf: 0.000 0.500 0.789
Hf: 0.500 0.000 0.289
Hf: 0.500 0.000 0.711
Hf: 0.500 0.500 0.500
Fe: 0.000 0.000 0.500
Fe: 0.500 0.500 0.000


Entry 6:
DFT (PBE-GGA) results for HfFe after structural relaxation.

a b c (Å): 6.447 5.901 5.231
angles (deg): 70.49 59.63 49.89
Element x y z (fractional)
Hf: 0.070 0.680 0.070
Hf: 0.320 0.930 0.320
Hf: 0.680 0.070 0.680
Hf: 0.930 0.320 0.930
Fe: 0.202 0.548 0.548
Fe: 0.452 0.798 0.798
Fe: 0.548 0.202 0.202
Fe: 0.798 0.452 0.452


Entry 7:
DFT (PBE-GGA) results for Hf5Fe6 after structural relaxation.

a b c (Å): 7.526 7.526 7.526
angles (deg): 146.69 130.75 60.76
Element x y z (fractional)
Hf: 0.000 0.000 0.000
Hf: 0.173 0.673 0.500
Hf: 0.352 0.352 0.000
Hf: 0.648 0.648 0.000
Hf: 0.827 0.327 0.500
Fe: 0.077 0.832 0.245
Fe: 0.227 0.500 0.727
Fe: 0.413 0.168 0.245
Fe: 0.587 0.832 0.755
Fe: 0.773 0.500 0.273
Fe: 0.923 0.168 0.755


Entry 8:
DFT (PBE-GGA) results for HfFe after structural relaxation.

a b c (Å): 7.234 7.234 7.234
angles (deg): 90.00 90.00 90.00
Element x y z (fractional)
Hf: 0.211 0.211 0.789
Hf: 0.211 0.789 0.211
Hf: 0.289 0.289 0.289
Hf: 0.289 0.711 0.711
Hf: 0.711 0.289 0.711
Hf: 0.711 0.711 0.289
Hf: 0.789 0.211 0.211
Hf: 0.789 0.789 0.789
Fe: 0.118 0.118 0.118
Fe: 0.118 0.882 0.882
Fe: 0.382 0.382 0.618
Fe: 0.382 0.618 0.382
Fe: 0.618 0.382 0.382
Fe: 0.618 0.618 0.618
Fe: 0.882 0.118 0.882
Fe: 0.882 0.882 0.118


Entry 9:
DFT (PBE-GGA) results for Hf4Fe after structural relaxation.

a b c (Å): 8.111 8.111 5.316
angles (deg): 102.74 102.74 134.90
Element x y z (fractional)
Hf: 0.079 0.471 0.772
Hf: 0.131 0.284 0.175
Hf: 0.284 0.131 0.675
Hf: 0.471 0.079 0.272
Hf: 0.529 0.921 0.728
Hf: 0.716 0.869 0.325
Hf: 0.869 0.716 0.825
Hf: 0.921 0.529 0.228
Fe: 0.444 0.556 0.750
Fe: 0.556 0.444 0.250

- energy above the most stable polymorph in this dataset (meV/atom) = 155


Entry 10:
DFT (PBE-GGA) results for Hf4Fe after structural relaxation.

a b c (Å): 6.781 6.781 6.781
angles (deg): 60.00 60.00 60.00
Element x y z (fractional)
Hf: 0.207 0.764 0.764
Hf: 0.236 0.236 0.236
Hf: 0.236 0.236 0.793
Hf: 0.236 0.793 0.236
Hf: 0.764 0.207 0.764
Hf: 0.764 0.764 0.207
Hf: 0.764 0.764 0.764
Hf: 0.793 0.236 0.236
Fe: 0.375 0.375 0.375
Fe: 0.625 0.625 0.625

- energy above the most stable polymorph in this dataset (meV/atom) = 694


Entry 11:
DFT (PBE-GGA) results for Hf3Fe after structural relaxation.

a b c (Å): 7.911 7.911 5.524
angles (deg): 110.25 110.25 83.09
Element x y z (fractional)
Hf: 0.000 0.000 0.000
Hf: 0.000 0.286 0.643
Hf: 0.163 0.643 0.151
Hf: 0.357 0.050 0.477
Hf: 0.357 0.237 0.070
Hf: 0.357 0.450 0.651
Hf: 0.357 0.837 0.849
Hf: 0.550 0.643 0.349
Hf: 0.713 0.287 0.000
Hf: 0.714 0.000 0.357
Hf: 0.763 0.643 0.930
Hf: 0.950 0.643 0.523
Fe: 0.065 0.351 0.207
Fe: 0.065 0.935 0.500
Fe: 0.648 0.352 0.500
Fe: 0.649 0.935 0.793


Entry 12:
DFT (PBE-GGA) results for HfFe after structural relaxation.

a b c (Å): 5.148 5.148 5.173
angles (deg): 90.00 90.00 90.00
Element x y z (fractional)
Hf: 0.209 0.209 0.000
Hf: 0.291 0.709 0.500
Hf: 0.709 0.291 0.500
Hf: 0.791 0.791 0.000
Fe: 0.194 0.194 0.500
Fe: 0.306 0.694 0.000
Fe: 0.694 0.306 0.000
Fe: 0.806 0.806 0.500


Entry 13:
DFT (PBE-GGA) results for Hf5Fe2 after structural relaxation.

a b c (Å): 7.881 7.881 6.310
angles (deg): 95.53 95.53 43.45
Element x y z (fractional)
Hf: 0.071 0.929 0.750
Hf: 0.153 0.289 0.313
Hf: 0.289 0.153 0.813
Hf: 0.292 0.523 0.081
Hf: 0.477 0.708 0.419
Hf: 0.523 0.292 0.581
Hf: 0.708 0.477 0.919
Hf: 0.711 0.847 0.187
Hf: 0.847 0.711 0.687
Hf: 0.929 0.071 0.250
Fe: 0.099 0.679 0.430
Fe: 0.321 0.901 0.070
Fe: 0.679 0.099 0.930
Fe: 0.901 0.321 0.570


Entry 14:
DFT (PBE-GGA) results for Hf3Fe after structural relaxation.

a b c (Å): 3.076 3.145 8.451
angles (deg): 90.00 90.00 90.00
Element x y z (fractional)
Hf: 0.000 0.000 0.000
Hf: 0.000 0.500 0.345
Hf: 0.500 0.500 0.742
Fe: 0.500 0.000 0.501


Entry 15:
DFT (PBE-GGA) results for HfFe after structural relaxation.

a b c (Å): 4.288 4.288 5.158
angles (deg): 90.00 90.00 120.00
Element x y z (fractional)
Hf: 0.333 0.667 0.250
Hf: 0.667 0.333 0.750
Fe: 0.333 0.667 0.750
Fe: 0.667 0.333 0.250


Entry 16:
DFT (PBE-GGA) results for HfFe2 after structural relaxation.

a b c (Å): 4.944 4.944 8.036
angles (deg): 90.00 90.00 120.00
Element x y z (fractional)
Hf: 0.333 0.667 0.062
Hf: 0.333 0.667 0.438
Hf: 0.667 0.333 0.562
Hf: 0.667 0.333 0.938
Fe: 0.000 0.000 0.000
Fe: 0.000 0.000 0.500
Fe: 0.168 0.337 0.750
Fe: 0.168 0.832 0.750
Fe: 0.337 0.168 0.250
Fe: 0.663 0.832 0.750
Fe: 0.832 0.168 0.250
Fe: 0.832 0.663 0.250


Entry 17:
DFT (PBE-GGA) results for HfFe after structural relaxation.

a b c (Å): 7.703 7.703 4.469
angles (deg): 90.00 90.00 90.00
Element x y z (fractional)
Hf: 0.000 0.295 0.000
Hf: 0.000 0.705 0.000
Hf: 0.205 0.500 0.500
Hf: 0.295 0.000 0.000
Hf: 0.500 0.205 0.500
Hf: 0.500 0.795 0.500
Hf: 0.705 0.000 0.000
Hf: 0.795 0.500 0.500
Fe: 0.155 0.155 0.500
Fe: 0.155 0.845 0.500
Fe: 0.345 0.345 0.000
Fe: 0.345 0.655 0.000
Fe: 0.655 0.345 0.000
Fe: 0.655 0.655 0.000
Fe: 0.845 0.155 0.500
Fe: 0.845 0.845 0.500


Entry 18:
DFT (PBE-GGA) results for Hf2Fe after structural relaxation.

a b c (Å): 8.481 8.481 8.481
angles (deg): 60.00 60.00 60.00
Element x y z (fractional)
Hf: 0.000 0.000 0.000
Hf: 0.000 0.000 0.500
Hf: 0.000 0.500 0.000
Hf: 0.186 0.186 0.564
Hf: 0.186 0.564 0.186
Hf: 0.186 0.564 0.564
Hf: 0.436 0.436 0.814
Hf: 0.436 0.814 0.436
Hf: 0.436 0.814 0.814
Hf: 0.500 0.000 0.000
Hf: 0.564 0.186 0.186
Hf: 0.564 0.186 0.564
Hf: 0.564 0.564 0.186
Hf: 0.814 0.436 0.436
Hf: 0.814 0.436 0.814
Hf: 0.814 0.814 0.436
Fe: 0.147 0.784 0.784
Fe: 0.216 0.216 0.216
Fe: 0.216 0.216 0.853
Fe: 0.216 0.853 0.216
Fe: 0.784 0.147 0.784
Fe: 0.784 0.784 0.147
Fe: 0.784 0.784 0.784
Fe: 0.853 0.216 0.216


Entry 19:
DFT (PBE-GGA) results for HfFe after structural relaxation.

a b c (Å): 9.346 9.346 3.045
angles (deg): 90.00 90.00 90.00
Element x y z (fractional)
Hf: 0.156 0.156 0.000
Hf: 0.156 0.844 0.000
Hf: 0.344 0.344 0.500
Hf: 0.344 0.656 0.500
Hf: 0.656 0.344 0.500
Hf: 0.656 0.656 0.500
Hf: 0.844 0.156 0.000
Hf: 0.844 0.844 0.000
Fe: 0.000 0.351 0.500
Fe: 0.000 0.649 0.500
Fe: 0.149 0.500 0.000
Fe: 0.351 0.000 0.500
Fe: 0.500 0.149 0.000
Fe: 0.500 0.851 0.000
Fe: 0.649 0.000 0.500
Fe: 0.851 0.500 0.000


Entry 20:
DFT (PBE-GGA) results for HfFe after structural relaxation.

a b c (Å): 5.598 5.598 5.598
angles (deg): 90.00 90.00 90.00
Element x y z (fractional)
Hf: 0.000 0.000 0.000
Hf: 0.000 0.500 0.500
Hf: 0.500 0.000 0.500
Hf: 0.500 0.500 0.000
Fe: 0.250 0.250 0.250
Fe: 0.250 0.750 0.750
Fe: 0.750 0.250 0.750
Fe: 0.750 0.750 0.250


| no. | formation energy (meV per atom) |
| --- | --- |
| 1 | 294.3 |
| 2 | -235.7 |
| 3 | 28.3 |
| 4 | 149.1 |
| 5 | -93.3 |
| 6 | 70.7 |
| 7 | 24.5 |
| 8 | 1082.1 |
| 9 | 74.7 |
| 10 | 613.4 |
| 11 | -111.4 |
| 12 | 276.1 |
| 13 | -144.7 |
| 14 | 201.2 |
| 15 | 806.8 |
| 16 | -335.6 |
| 17 | -18.4 |
| 18 | -186.6 |
| 19 | 105.3 |
| 20 | 1462.9 |